Computed, not measured: a relaxed ScCo crystal at the PBE-GGA level of DFT.

Cell: 3.7950 3.7950 12.1824 Å, 90.00 90.00 120.00°
Last column: nearest neighbours and their distance in Å.
Space group P6_3/mmc (No. 194)
Unique sites:
Sc  0.3333  0.6667  0.1162 x4  6 Co 2.73
Co  0.0000  0.0000  0.2500 x2  3 Co 2.19
Co  0.3333  0.6667  0.7500 x2  3 Co 2.19

Summary:
- E: -6.866 eV/atom
- ΔE_f: -14 kJ per mole of atoms